[1]
Below is a relaxed structure of LiSmScSi, with properties calculated at the PBE level.

Unit cell a=4.875 b=4.875 c=4.875 alpha=60.00 beta=60.00 gamma=60.00
Positions (direct):
Li  0.000  0.000  0.000
Sm  0.250  0.250  0.250
Sc  0.750  0.750  0.750
Si  0.500  0.500  0.500

Computed properties:
formation energy (no corrections)	-0.37	eV per atom
total energy	-4.965	eV per atom
total moment	0.00	μB/f.u.



[2]
Below is a relaxed structure of Ac3Al3Cu, with properties calculated at the PBE level.

Unit cell a=6.434 b=6.434 c=15.482 alpha=107.55 beta=107.55 gamma=41.05
Positions (direct):
Ac  0.014  0.014  0.386
Ac  0.114  0.114  0.920
Ac  0.249  0.249  0.232
Ac  0.751  0.751  0.768
Ac  0.886  0.886  0.080
Ac  0.986  0.986  0.614
Al  0.310  0.310  0.462
Al  0.407  0.407  0.924
Al  0.456  0.456  0.765
Al  0.544  0.544  0.235
Al  0.593  0.593  0.076
Al  0.690  0.690  0.538
Cu  0.275  0.275  0.616
Cu  0.725  0.725  0.384

Computed properties:
DFT formation energy	-0.26	eV per atom
total energy	-4.211	eV per atom
total moment	0.00	μB/f.u.



[3]
Below is a relaxed structure of SbAsCl2, with properties calculated at the PBE level.

Unit cell a=5.981 b=5.981 c=4.501 alpha=111.95 beta=111.95 gamma=44.09
Positions (direct):
Sb  0.000  0.000  0.000
As  0.500  0.500  0.500
Cl  0.256  0.256  0.257
Cl  0.744  0.744  0.743

Computed properties:
formation energy (no corrections)	-0.18	eV per atom
E above lowest polymorph	252	meV/atom
total energy	-3.300	eV per atom
total moment	0.00	μB/f.u.



[4]
Below is a relaxed structure of LaGePCl2, with properties calculated at the PBE level.

Unit cell a=4.922 b=4.922 c=5.103 alpha=90.00 beta=90.00 gamma=90.00
Positions (direct):
La  0.000  0.000  0.000
Ge  0.500  0.500  0.500
P  0.500  0.500  0.000
Cl  0.000  0.500  0.500
Cl  0.500  0.000  0.500

Computed properties:
formation energy (no corrections)	-0.69	eV per atom
E above lowest polymorph	0	meV/atom
total energy	-4.422	eV per atom
total moment	0.33	μB/f.u.



[5]
Below is a relaxed structure of TbPmRu2, with properties calculated at the PBE level.

Unit cell a=4.878 b=4.878 c=4.878 alpha=60.00 beta=60.00 gamma=60.00
Positions (direct):
Tb  0.000  0.000  0.000
Pm  0.500  0.500  0.500
Ru  0.250  0.250  0.250
Ru  0.750  0.750  0.750

Computed properties:
E above lowest polymorph	5	meV/atom
DFT formation energy	-0.20	eV per atom
total energy	-7.179	eV per atom
total moment	0.00	μB/f.u.



[6]
Below is a relaxed structure of Ho2Tm4Tl3H2, with properties calculated at the PBE level.

Unit cell a=12.546 b=12.546 c=12.546 alpha=158.47 beta=158.47 gamma=30.64
Positions (direct):
Ho  0.196  0.196  0.000
Ho  0.804  0.804  0.000
Tm  0.084  0.584  0.500
Tm  0.416  0.916  0.500
Tm  0.584  0.084  0.500
Tm  0.916  0.416  0.500
Tl  0.326  0.326  0.000
Tl  0.500  0.500  0.000
Tl  0.674  0.674  0.000
H  0.101  0.101  0.000
H  0.899  0.899  0.000

Computed properties:
total energy	-3.976	eV per atom
total moment	0.00	μB/f.u.



[7]
Below is a relaxed structure of CaS6Cl2, with properties calculated at the PBE level.

Unit cell a=4.149 b=8.062 c=8.087 alpha=107.33 beta=90.39 gamma=90.56
Positions (direct):
Ca  0.000  0.000  0.000
S  0.092  0.273  0.527
S  0.094  0.528  0.274
S  0.139  0.689  0.689
S  0.861  0.311  0.311
S  0.906  0.472  0.726
S  0.908  0.727  0.473
Cl  0.499  0.864  0.135
Cl  0.501  0.136  0.865

Computed properties:
formation energy (no corrections)	-0.69	eV per atom
total energy	-4.071	eV per atom
total moment	0.00	μB/f.u.



[8]
Below is a relaxed structure of Nd2HoTh, with properties calculated at the PBE level.

Unit cell a=5.745 b=5.745 c=5.745 alpha=60.00 beta=60.00 gamma=60.00
Positions (direct):
Nd  0.250  0.250  0.250
Nd  0.750  0.750  0.750
Ho  0.000  0.000  0.000
Th  0.500  0.500  0.500

Computed properties:
E above lowest polymorph	179	meV/atom
DFT formation energy	0.21	eV per atom
total energy	-5.174	eV per atom
total moment	0.02	μB/f.u.



[9]
Below is a relaxed structure of HoFe3Tc3, with properties calculated at the PBE level.

Unit cell a=6.367 b=6.367 c=6.367 alpha=90.00 beta=90.00 gamma=90.00
Positions (direct):
Ho  0.000  0.000  0.000
Ho  0.500  0.500  0.500
Fe  0.000  0.250  0.500
Fe  0.000  0.750  0.500
Fe  0.250  0.500  0.000
Fe  0.500  0.000  0.250
Fe  0.500  0.000  0.750
Fe  0.750  0.500  0.000
Tc  0.000  0.500  0.250
Tc  0.000  0.500  0.750
Tc  0.250  0.000  0.500
Tc  0.500  0.250  0.000
Tc  0.500  0.750  0.000
Tc  0.750  0.000  0.500

Computed properties:
DFT formation energy	0.67	eV per atom
total energy	-8.057	eV per atom
total moment	0.00	μB/f.u.



[10]
Below is a relaxed structure of Y2PuZn, with properties calculated at the PBE level.

Unit cell a=3.529 b=3.529 c=8.542 alpha=90.00 beta=90.00 gamma=90.00
Positions (direct):
Y  0.000  0.000  0.209
Y  0.000  0.000  0.791
Pu  0.500  0.500  0.500
Zn  0.500  0.500  0.000

Computed properties:
E above lowest polymorph	0	meV/atom
DFT formation energy	-0.07	eV per atom
total energy	-7.208	eV per atom
total moment	6.65	μB/f.u.



[11]
Below is a relaxed structure of EuLu2N, with properties calculated at the PBE level.

Unit cell a=9.657 b=9.657 c=9.657 alpha=20.26 beta=20.26 gamma=20.26
Positions (direct):
Eu  0.000  0.000  0.000
Lu  0.121  0.121  0.121
Lu  0.879  0.879  0.879
N  0.500  0.500  0.500

Computed properties:
formation energy (no corrections)	-0.72	eV per atom
total energy	-7.630	eV per atom
total moment	7.22	μB/f.u.



[12]
Below is a relaxed structure of PuTlSe4, with properties calculated at the PBE level.

Unit cell a=6.255 b=6.255 c=8.455 alpha=90.00 beta=90.00 gamma=90.00
Positions (direct):
Pu  0.250  0.250  0.000
Pu  0.750  0.750  0.000
Tl  0.250  0.250  0.500
Tl  0.750  0.750  0.500
Se  0.112  0.612  0.207
Se  0.112  0.888  0.793
Se  0.388  0.612  0.793
Se  0.388  0.888  0.207
Se  0.612  0.112  0.793
Se  0.612  0.388  0.207
Se  0.888  0.112  0.207
Se  0.888  0.388  0.793

Computed properties:
formation energy (no corrections)	-0.74	eV per atom
total energy	-5.845	eV per atom
total moment	5.00	μB/f.u.



[13]
Below is a relaxed structure of CsCd2SnPd, with properties calculated at the PBE level.

Unit cell a=5.453 b=5.453 c=5.229 alpha=90.00 beta=90.00 gamma=90.00
Positions (direct):
Cs  0.000  0.000  0.000
Cd  0.000  0.500  0.500
Cd  0.500  0.000  0.500
Sn  0.500  0.500  0.000
Pd  0.500  0.500  0.500

Computed properties:
DFT formation energy	-0.16	eV per atom
total energy	-2.532	eV per atom
total moment	0.00	μB/f.u.